Entry 1:
CsAc2Bi: optimized geometry, PBE-GGA.

Cell lengths 5.1817, 5.6256, 5.6256 Å; angles 90.00, 90.00, 90.00 degrees
Fractional positions:
Cs 0.5000 0.5000 0.5000
Ac 0.0000 0.0000 0.5000
Ac 0.0000 0.5000 0.0000
Bi 0.5000 0.0000 0.0000

Values from the calculation:
size of the total moment	0.000	Bohr magnetons per cell
uncorrected energy	-3.289	eV/atom


Entry 2:
CsAcHg2Bi2: optimized geometry, PBE-GGA.

Cell lengths 5.2874, 5.2874, 9.7731 Å; angles 90.00, 90.00, 120.00 degrees
Fractional positions:
Cs 0.0000 0.0000 0.0000
Ac 0.0000 0.0000 0.5000
Hg 0.6667 0.3333 0.6519
Hg 0.3333 0.6667 0.3481
Bi 0.6667 0.3333 0.2800
Bi 0.3333 0.6667 0.7200

Values from the calculation:
size of the total moment	0.000	Bohr magnetons per cell
uncorrected energy	-2.693	eV/atom


Entry 3:
CsLi2AcBi2: optimized geometry, PBE-GGA.

Cell lengths 4.9834, 4.9834, 10.0767 Å; angles 90.00, 90.00, 120.00 degrees
Fractional positions:
Cs 0.0000 0.0000 0.0000
Li 0.3333 0.6667 0.7154
Li 0.6667 0.3333 0.2846
Ac 0.0000 0.0000 0.5000
Bi 0.3333 0.6667 0.2997
Bi 0.6667 0.3333 0.7003

Values from the calculation:
size of the total moment	0.000	Bohr magnetons per cell
uncorrected energy	-3.433	eV/atom


Entry 4:
Cs2AcBiO6: optimized geometry, PBE-GGA.

Cell lengths 6.5500, 6.5500, 6.5500 Å; angles 60.00, 60.00, 60.00 degrees
Fractional positions:
Cs 0.7500 0.7500 0.7500
Cs 0.2500 0.2500 0.2500
Ac 0.5000 0.5000 0.5000
Bi 0.0000 0.0000 0.0000
O 0.2323 0.7677 0.7677
O 0.2323 0.7677 0.2323
O 0.2323 0.2323 0.7677
O 0.7677 0.7677 0.2323
O 0.7677 0.2323 0.2323
O 0.7677 0.2323 0.7677

Values from the calculation:
size of the total moment	2.026	Bohr magnetons per cell
uncorrected energy	-5.441	eV/atom
formation energy from raw total energies	-1.496	eV/atom


Entry 5:
CsAc2BiO6: optimized geometry, PBE-GGA.

Cell lengths 6.3786, 6.3784, 6.8335 Å; angles 62.18, 62.18, 60.00 degrees
Fractional positions:
Cs 0.7757 0.7757 0.6728
Ac 0.5255 0.5255 0.4236
Ac 0.0081 0.0081 0.9756
Bi 0.3260 0.3260 0.0221
O 0.5526 0.2839 0.2050
O 0.2839 0.9585 0.2050
O 0.9585 0.5526 0.2050
O 0.3218 0.7000 0.7687
O 0.7000 0.2095 0.7687
O 0.2095 0.3218 0.7687

Values from the calculation:
size of the total moment	0.000	Bohr magnetons per cell
uncorrected energy	-6.465	eV/atom
formation energy from raw total energies	-2.195	eV/atom


Entry 6:
Cs2AcBiO4: optimized geometry, PBE-GGA.

Cell lengths 3.8285, 6.5512, 7.3164 Å; angles 107.54, 90.00, 90.00 degrees
Fractional positions:
Cs 0.5000 0.0000 0.5000
Cs 0.0000 0.5000 0.5000
Ac 0.5000 0.5000 0.0000
Bi 0.0000 0.0000 0.0000
O 0.5000 0.2224 0.1791
O 0.5000 0.7776 0.8209
O 0.0000 0.2677 0.8246
O 0.0000 0.7323 0.1754

Values from the calculation:
size of the total moment	0.000	Bohr magnetons per cell
uncorrected energy	-5.554	eV/atom
formation energy from raw total energies	-1.863	eV/atom


Entry 7:
Cs2AcBi2O7: optimized geometry, PBE-GGA.

Cell lengths 4.3566, 4.3567, 12.4689 Å; angles 79.95, 79.95, 90.00 degrees
Fractional positions:
Cs 0.8072 0.8072 0.3861
Cs 0.1928 0.1928 0.6139
Ac 0.0000 0.0000 0.0000
Bi 0.5918 0.5918 0.8162
Bi 0.4082 0.4082 0.1838
O 0.5000 0.5000 0.0000
O 0.3227 0.3227 0.3551
O 0.6773 0.6773 0.6449
O 0.9272 0.4271 0.1459
O 0.4271 0.9272 0.1459
O 0.5729 0.0728 0.8541
O 0.0728 0.5729 0.8541

Values from the calculation:
size of the total moment	0.000	Bohr magnetons per cell
uncorrected energy	-5.672	eV/atom
formation energy from raw total energies	-1.648	eV/atom


Entry 8:
CsAc2BiO5: optimized geometry, PBE-GGA.

Cell lengths 6.6710, 7.3471, 7.3471 Å; angles 90.00, 90.00, 90.00 degrees
Fractional positions:
Cs 0.0000 0.5000 0.5000
Cs 0.0000 0.0000 0.0000
Ac 0.5000 0.6797 0.1797
Ac 0.5000 0.1797 0.3203
Ac 0.5000 0.8203 0.6797
Ac 0.5000 0.3203 0.8203
Bi 0.0000 0.0000 0.5000
Bi 0.0000 0.5000 0.0000
O 0.5000 0.5000 0.5000
O 0.5000 0.0000 0.0000
O 0.2647 0.1393 0.6393
O 0.2647 0.8607 0.3607
O 0.2647 0.3607 0.1393
O 0.2647 0.6393 0.8607
O 0.7353 0.1393 0.6393
O 0.7353 0.6393 0.8607
O 0.7353 0.8607 0.3607
O 0.7353 0.3607 0.1393

Values from the calculation:
size of the total moment	0.000	Bohr magnetons per cell
uncorrected energy	-6.427	eV/atom
formation energy from raw total energies	-2.233	eV/atom